(1)
Na3CS3 after structural relaxation. Source: Alexandria via LeMat-Bulk, functional GGA-PBE.

```
data_Na3CS3
_space_group_name_H-M_alt 'P 1 21/c 1'
_space_group_IT_number 14
_space_group_name_Hall '-P 2ybc'
_cell_length_a 4.3551
_cell_length_b 12.5936
_cell_length_c 12.0072
_cell_angle_alpha 90.00
_cell_angle_beta 107.58
_cell_angle_gamma 90.00
loop_
_atom_site_label
_atom_site_type_symbol
_atom_site_fract_x
_atom_site_fract_y
_atom_site_fract_z
Na1 Na 0.0084 0.1678 0.0317
Na2 Na 0.2296 0.0210 0.6387
Na3 Na 0.2687 0.7430 0.7554
C1 C 0.4011 0.2023 0.3898
S1 S 0.2257 0.1122 0.2744
S2 S 0.3489 0.1580 0.8710
S3 S 0.3726 0.6500 0.9740
```

Calculated values
Density of states at the Fermi level   0.148 states/eV/atom
Magnetic moment   3.7 μB/cell
ΔE_f (raw)   -0.453 eV per atom

(2)
NaCS2 after structural relaxation. Source: Alexandria via LeMat-Bulk, functional GGA-PBE.

```
data_NaCS2
_space_group_name_H-M_alt 'R -3 m'
_space_group_IT_number 166
_space_group_name_Hall '-R 3 2"'
_cell_length_a 3.1601
_cell_length_b 3.1601
_cell_length_c 22.8575
_cell_angle_alpha 90.00
_cell_angle_beta 90.00
_cell_angle_gamma 120.00
loop_
_atom_site_label
_atom_site_type_symbol
_atom_site_fract_x
_atom_site_fract_y
_atom_site_fract_z
Na1 Na 0.0000 0.0000 0.0000
C1 C 0.0000 0.0000 0.5000
S1 S 0.0000 0.0000 0.1146
```

Calculated values
Density of states at the Fermi level   0.454 states/eV/atom
Magnetic moment   0.0 μB/cell
ΔE_f (raw)   1.041 eV per atom

(3)
NaCS2 after structural relaxation. Source: Alexandria via LeMat-Bulk, functional GGA-PBE.

```
data_NaCS2
_space_group_name_H-M_alt 'R -3 m'
_space_group_IT_number 166
_space_group_name_Hall '-R 3 2"'
_cell_length_a 4.4441
_cell_length_b 4.4441
_cell_length_c 17.8846
_cell_angle_alpha 90.00
_cell_angle_beta 90.00
_cell_angle_gamma 120.00
loop_
_atom_site_label
_atom_site_type_symbol
_atom_site_fract_x
_atom_site_fract_y
_atom_site_fract_z
Na1 Na 0.0000 0.0000 0.0000
C1 C 0.0000 0.0000 0.5000
S1 S 0.0000 0.0000 0.4110
```

Calculated values
Density of states at the Fermi level   0.785 states/eV/atom
Magnetic moment   0.0 μB/cell
ΔE_f (raw)   0.093 eV per atom

(4)
NaCS3 after structural relaxation. Source: Alexandria via LeMat-Bulk, functional GGA-PBE.

```
data_NaCS3
_space_group_name_H-M_alt 'P m -3 m'
_space_group_IT_number 221
_space_group_name_Hall '-P 4 2 3'
_cell_length_a 4.2625
_cell_length_b 4.2625
_cell_length_c 4.2625
_cell_angle_alpha 90.00
_cell_angle_beta 90.00
_cell_angle_gamma 90.00
loop_
_atom_site_label
_atom_site_type_symbol
_atom_site_fract_x
_atom_site_fract_y
_atom_site_fract_z
Na1 Na 0.0000 0.0000 0.0000
C1 C 0.5000 0.5000 0.5000
S1 S 0.0000 0.5000 0.5000
```

Calculated values
ΔE to the lowest computed polymorph   0.00 eV/f.u.
Density of states at the Fermi level   0.579 states/eV/atom
Magnetic moment   0.0 μB/cell
ΔE_f (raw)   0.838 eV per atom

(5)
NaC2S after structural relaxation. Source: Alexandria via LeMat-Bulk, functional GGA-PBE.

```
data_NaC2S
_space_group_name_H-M_alt 'I -4 2 d'
_space_group_IT_number 122
_space_group_name_Hall 'I -4 2bw'
_cell_length_a 5.3116
_cell_length_b 5.3116
_cell_length_c 6.9202
_cell_angle_alpha 90.00
_cell_angle_beta 90.00
_cell_angle_gamma 90.00
loop_
_atom_site_label
_atom_site_type_symbol
_atom_site_fract_x
_atom_site_fract_y
_atom_site_fract_z
Na1 Na 0.0000 0.0000 0.0000
C1 C 0.1314 0.7500 0.6250
S1 S 0.0000 0.0000 0.5000
```

Calculated values
Density of states at the Fermi level   0.390 states/eV/atom
Magnetic moment   3.3 μB/cell
ΔE_f (raw)   1.350 eV per atom

(6)
Na3CS after structural relaxation. Source: Alexandria via LeMat-Bulk, functional GGA-PBE.

```
data_Na3CS
_space_group_name_H-M_alt 'P m -3 m'
_space_group_IT_number 221
_space_group_name_Hall '-P 4 2 3'
_cell_length_a 4.7873
_cell_length_b 4.7873
_cell_length_c 4.7873
_cell_angle_alpha 90.00
_cell_angle_beta 90.00
_cell_angle_gamma 90.00
loop_
_atom_site_label
_atom_site_type_symbol
_atom_site_fract_x
_atom_site_fract_y
_atom_site_fract_z
Na1 Na 0.0000 0.0000 0.5000
C1 C 0.0000 0.0000 0.0000
S1 S 0.5000 0.5000 0.5000
```

Calculated values
ΔE to the lowest computed polymorph   0.00 eV/f.u.
Density of states at the Fermi level   0.000 states/eV/atom
Magnetic moment   3.0 μB/cell
ΔE_f (raw)   0.495 eV per atom

(7)
NaCS2 after structural relaxation. Source: Alexandria via LeMat-Bulk, functional GGA-PBE.

```
data_NaCS2
_space_group_name_H-M_alt 'I -4 2 d'
_space_group_IT_number 122
_space_group_name_Hall 'I -4 2bw'
_cell_length_a 5.9674
_cell_length_b 5.9674
_cell_length_c 7.9565
_cell_angle_alpha 90.00
_cell_angle_beta 90.00
_cell_angle_gamma 90.00
loop_
_atom_site_label
_atom_site_type_symbol
_atom_site_fract_x
_atom_site_fract_y
_atom_site_fract_z
Na1 Na 0.0000 0.0000 0.0000
C1 C 0.0000 0.0000 0.5000
S1 S 0.1273 0.2500 0.6250
```

Calculated values
Density of states at the Fermi level   0.609 states/eV/atom
Magnetic moment   2.9 μB/cell
ΔE_f (raw)   0.386 eV per atom

(8)
NaCS3 after structural relaxation. Source: Alexandria via LeMat-Bulk, functional GGA-PBE.

```
data_NaCS3
_space_group_name_H-M_alt 'P m -3 m'
_space_group_IT_number 221
_space_group_name_Hall '-P 4 2 3'
_cell_length_a 4.9144
_cell_length_b 4.9144
_cell_length_c 4.9144
_cell_angle_alpha 90.00
_cell_angle_beta 90.00
_cell_angle_gamma 90.00
loop_
_atom_site_label
_atom_site_type_symbol
_atom_site_fract_x
_atom_site_fract_y
_atom_site_fract_z
Na1 Na 0.0000 0.0000 0.0000
C1 C 0.5000 0.5000 0.5000
S1 S 0.0000 0.0000 0.5000
```

Calculated values
ΔE to the lowest computed polymorph   7.90 eV/f.u.
Density of states at the Fermi level   1.653 states/eV/atom
Magnetic moment   3.0 μB/cell
ΔE_f (raw)   2.417 eV per atom

(9)
Na2TcCS after structural relaxation. Source: Alexandria via LeMat-Bulk, functional GGA-PBE.

```
data_Na2TcCS
_space_group_name_H-M_alt 'P 4/m m m'
_space_group_IT_number 123
_space_group_name_Hall '-P 4 2'
_cell_length_a 5.9486
_cell_length_b 5.9486
_cell_length_c 4.3564
_cell_angle_alpha 90.00
_cell_angle_beta 90.00
_cell_angle_gamma 90.00
loop_
_atom_site_label
_atom_site_type_symbol
_atom_site_fract_x
_atom_site_fract_y
_atom_site_fract_z
Na1 Na 0.0000 0.5000 0.0000
Tc1 Tc 0.0000 0.0000 0.0000
C1 C 0.5000 0.5000 0.5000
S1 S 0.0000 0.0000 0.5000
```

Calculated values
Density of states at the Fermi level   1.444 states/eV/atom
Magnetic moment   4.3 μB/cell
ΔE_f (raw)   1.506 eV per atom

(10)
NaTiC2S after structural relaxation. Source: Alexandria via LeMat-Bulk, functional GGA-PBE.

```
data_NaTiC2S
_space_group_name_H-M_alt 'P 4/m m m'
_space_group_IT_number 123
_space_group_name_Hall '-P 4 2'
_cell_length_a 4.0385
_cell_length_b 4.0385
_cell_length_c 4.7063
_cell_angle_alpha 90.00
_cell_angle_beta 90.00
_cell_angle_gamma 90.00
loop_
_atom_site_label
_atom_site_type_symbol
_atom_site_fract_x
_atom_site_fract_y
_atom_site_fract_z
Na1 Na 0.0000 0.0000 0.0000
Ti1 Ti 0.5000 0.5000 0.5000
C1 C 0.0000 0.5000 0.0000
S1 S 0.0000 0.0000 0.5000
```

Calculated values
Density of states at the Fermi level   0.923 states/eV/atom
Magnetic moment   0.0 μB/cell
ΔE_f (raw)   2.428 eV per atom

(11)
Na2VCS after structural relaxation. Source: Alexandria via LeMat-Bulk, functional GGA-PBE.

```
data_Na2VCS
_space_group_name_H-M_alt 'P 4/m m m'
_space_group_IT_number 123
_space_group_name_Hall '-P 4 2'
_cell_length_a 5.6894
_cell_length_b 5.6894
_cell_length_c 3.4648
_cell_angle_alpha 90.00
_cell_angle_beta 90.00
_cell_angle_gamma 90.00
loop_
_atom_site_label
_atom_site_type_symbol
_atom_site_fract_x
_atom_site_fract_y
_atom_site_fract_z
Na1 Na 0.0000 0.5000 0.0000
V1 V 0.0000 0.0000 0.5000
C1 C 0.5000 0.5000 0.5000
S1 S 0.5000 0.5000 0.0000
```

Calculated values
Density of states at the Fermi level   1.210 states/eV/atom
Magnetic moment   0.6 μB/cell
ΔE_f (raw)   1.500 eV per atom

(12)
NaSbC after structural relaxation. Source: Alexandria via LeMat-Bulk, functional GGA-PBE.

```
data_NaSbC
_space_group_name_H-M_alt 'P 1 m 1'
_space_group_IT_number 6
_space_group_name_Hall 'P -2y'
_cell_length_a 4.8323
_cell_length_b 4.2168
_cell_length_c 7.7616
_cell_angle_alpha 90.00
_cell_angle_beta 94.67
_cell_angle_gamma 90.00
loop_
_atom_site_label
_atom_site_type_symbol
_atom_site_fract_x
_atom_site_fract_y
_atom_site_fract_z
Na1 Na 0.0000 0.0000 0.0000
Na2 Na 0.3808 0.5000 0.3327
Sb1 Sb 0.6861 0.5000 0.7057
Sb2 Sb 0.9515 0.0000 0.5231
C1 C 0.4878 0.0000 0.1603
C2 C 0.6704 0.0000 0.2860
```

Calculated values
ΔE to the lowest computed polymorph   0.10 eV/f.u.
Magnetic moment   0.0 μB/cell
ΔE_f (raw)   0.295 eV per atom

(13)
NaSbC after structural relaxation. Source: Alexandria via LeMat-Bulk, functional GGA-PBE.

```
data_NaSbC
_space_group_name_H-M_alt 'P 1'
_space_group_IT_number 1
_space_group_name_Hall 'P 1'
_cell_length_a 4.3400
_cell_length_b 4.8046
_cell_length_c 7.4485
_cell_angle_alpha 93.26
_cell_angle_beta 93.98
_cell_angle_gamma 90.22
loop_
_atom_site_label
_atom_site_type_symbol
_atom_site_fract_x
_atom_site_fract_y
_atom_site_fract_z
Na1 Na 0.0000 0.0000 0.0000
Na2 Na 0.3390 0.4645 0.7100
Sb1 Sb 0.0365 0.5149 0.3116
Sb2 Sb 0.5505 0.9195 0.3651
C1 C 0.4792 0.9805 0.8176
C2 C 0.5433 0.9549 0.6553
```

Calculated values
ΔE to the lowest computed polymorph   0.00 eV/f.u.
Density of states at the Fermi level   0.012 states/eV/atom
Magnetic moment   0.0 μB/cell
ΔE_f (raw)   0.262 eV per atom

(14)
NaSb3C after structural relaxation. Source: Alexandria via LeMat-Bulk, functional GGA-PBE.

```
data_NaSb3C
_space_group_name_H-M_alt 'P m -3 m'
_space_group_IT_number 221
_space_group_name_Hall '-P 4 2 3'
_cell_length_a 4.8952
_cell_length_b 4.8952
_cell_length_c 4.8952
_cell_angle_alpha 90.00
_cell_angle_beta 90.00
_cell_angle_gamma 90.00
loop_
_atom_site_label
_atom_site_type_symbol
_atom_site_fract_x
_atom_site_fract_y
_atom_site_fract_z
Na1 Na 0.0000 0.0000 0.0000
Sb1 Sb 0.0000 0.5000 0.5000
C1 C 0.5000 0.5000 0.5000
```

Calculated values
ΔE to the lowest computed polymorph   0.00 eV/f.u.
Density of states at the Fermi level   0.640 states/eV/atom
Magnetic moment   0.0 μB/cell
ΔE_f (raw)   0.773 eV per atom